## i
Computed, not measured: crystalline TiZnCu3 at its relaxed geometry at the PBE level of DFT.

Calculated values
ρ = 4.98 g/cm3

a b c (Å): 4.663 4.663 4.663
angles (deg): 90.00 90.00 90.00
Last column: magnetic moment on the atom in μB.
Sites, in units of the cell vectors:
Zn 0.500 0.500 0.500  -0.01
Cu 0.000 0.500 0.000  0.00
Cu 0.000 0.000 0.500  0.00
Cu 0.500 0.000 0.000  0.03
Ti 0.000 0.000 0.000  0.68

---

## ii
Computed, not measured: crystalline TiZnCu3 at its relaxed geometry at the PBE level of DFT.

Calculated values
ρ = 6.96 g/cm3

a b c (Å): 4.227 4.329 8.486
angles (deg): 104.78 104.42 90.00
Sites, in units of the cell vectors:
Ti 0.139 0.388 0.776
Ti 0.861 0.612 0.224
Zn 0.371 0.121 0.242
Zn 0.629 0.879 0.758
Cu 0.784 0.034 0.068
Cu 0.216 0.966 0.932
Cu 0.458 0.708 0.417
Cu 0.542 0.292 0.583
Cu 0.041 0.792 0.584
Cu 0.959 0.208 0.416

---

Q: What are the energies relative to the best structure? A: i 106.5; ii 0.0, in kJ/mol of atoms.

---

## i
Computed, not measured: crystalline TiZnCu3 at its relaxed geometry at the PBE level of DFT.

Calculated values
ρ = 6.06 g/cm3

a b c (Å): 4.367 4.367 4.367
angles (deg): 90.00 90.00 90.00
Sites, in units of the cell vectors:
Zn 0.000 0.000 0.000
Cu 0.000 0.500 0.000
Cu 0.000 0.000 0.500
Cu 0.500 0.000 0.000
Ti 0.500 0.500 0.500

---

## ii
Computed, not measured: crystalline TiZnCu3 at its relaxed geometry at the PBE level of DFT.

Calculated values
ρ = 7.62 g/cm3

a b c (Å): 4.363 4.368 7.280
angles (deg): 89.99 72.61 89.92
Sites, in units of the cell vectors:
Ti 0.855 0.843 0.014
Ti 0.556 0.344 0.601
Zn 0.352 0.345 0.011
Zn 0.059 0.845 0.604
Cu 0.157 0.347 0.396
Cu 0.953 0.343 0.808
Cu 0.662 0.843 0.402
Cu 0.749 0.342 0.213
Cu 0.254 0.847 0.218
Cu 0.459 0.844 0.806

---

Q: What are the energies relative to the best structure? A: i 77.6; ii 0.0, in kJ/mol of atoms.